# 1
The following is a GGA-PBE calculation of ZrSb2Pb after structural relaxation, from the Alexandria database.

Cell lengths 5.2981, 5.2981, 5.2981 Å; angles 60.00, 60.00, 60.00 degrees
With the nearest neighbours (Å) after each atom.
Positions (direct):
Zr: 0.0000 0.0000 0.0000  4 Pb 3.24, 4 Sb 3.24
Sb: 0.2500 0.2500 0.2500  4 Zr 3.24, 4 Sb 3.24
Sb: 0.5000 0.5000 0.5000  4 Pb 3.24, 4 Sb 3.24
Pb: 0.7500 0.7500 0.7500  4 Sb 3.24, 4 Zr 3.24

Fermi-level density of states ... 4.990 states/eV/cell
Formation energy (no corrections) ... 4.79 kcal/mol of atoms
E ... -19.67 eV/cell
Magnetization ... 0.0 Bohr magnetons per cell

---

# 2
The following is a GGA-PBE calculation of Sc2Pb after structural relaxation, from the Alexandria database.

Cell lengths 14.4228, 14.4228, 14.4228 Å; angles 166.95, 166.95, 18.49 degrees
With the nearest neighbours (Å) after each atom.
Positions (direct):
Sc: 0.2982 0.5482 0.7500  4 Pb 3.19, 6 Sc 3.19-3.28
Sc: 0.4518 0.7018 0.7500  4 Pb 3.19, 6 Sc 3.19-3.28
Sc: 0.5482 0.2982 0.2500  4 Pb 3.19, 6 Sc 3.19-3.28
Sc: 0.7018 0.4518 0.2500  4 Pb 3.19, 6 Sc 3.19-3.28
Pb: 0.1250 0.8750 0.2500  8 Sc 3.19, 4 Pb 3.28
Pb: 0.8750 0.1250 0.7500  8 Sc 3.19, 4 Pb 3.28

Fermi-level density of states ... 8.127 states/eV/cell
Energy relative to the elements ... -0.044 eV per atom
E ... -33.01 eV/cell
Magnetization ... 1.8 Bohr magnetons per cell

---

# 3
The following is a GGA-PBE calculation of Sc2Pb after structural relaxation, from the Alexandria database.

Cell lengths 3.3543, 3.3543, 15.9166 Å; angles 90.00, 90.00, 120.00 degrees
With the nearest neighbours (Å) after each atom.
Positions (direct):
Sc: 0.3333 0.6667 0.1560  1 Sc 2.99, 3 Pb 3.15
Sc: 0.3333 0.6667 0.3440  1 Sc 2.99, 3 Pb 3.15
Sc: 0.6667 0.3333 0.6560  1 Sc 2.99, 3 Pb 3.15
Sc: 0.6667 0.3333 0.8440  1 Sc 2.99, 3 Pb 3.15
Pb: 0.0000 0.0000 0.0000  6 Sc 3.15, 6 Pb 3.35
Pb: 0.0000 0.0000 0.5000  6 Sc 3.15, 6 Pb 3.35

Fermi-level density of states ... 9.005 states/eV/cell
Energy relative to the elements ... 0.043 eV per atom
E ... -32.49 eV/cell
Magnetization ... 1.3 Bohr magnetons per cell